Entry 1:
The following is a DFT calculation (PBE) of SrMn2ReSn after structural relaxation.

Computed properties:
M_tot ... 2.055 μB/f.u.
D(E_F) ... 8.6 states/eV/f.u.
E_form ... 1754.5 meV/atom
VASP energy ... -5.5398 eV/atom

Cell and atoms, written as CIF:
```
data_SrMn2ReSn
_chemical_formula_sum 'Sr1 Mn2 Re1 Sn1'
_cell_length_a 4.877
_cell_length_b 4.877
_cell_length_c 5.042
_cell_angle_alpha 90.00
_cell_angle_beta 90.00
_cell_angle_gamma 90.00
_symmetry_space_group_name_H-M 'P 4/m m m'
_symmetry_Int_Tables_number 123
_symmetry_space_group_name_Hall '-P 4 2'
loop_
_atom_site_label
_atom_site_type_symbol
_atom_site_fract_x
_atom_site_fract_y
_atom_site_fract_z
_atom_site_occupancy
Sr1 Sr 0.000 0.000 0.000 1
Mn1 Mn 0.000 0.500 0.500 1
Re1 Re 0.500 0.500 0.000 1
Sn1 Sn 0.500 0.500 0.500 1
```

---

Entry 2:
The following is a DFT calculation (PBE) of Mn2ReSnW after structural relaxation.

Computed properties:
M_tot ... 5.583 μB/f.u.
D(E_F) ... 5.3 states/eV/f.u.
E_form ... 1324.3 meV/atom
VASP energy ... -8.2243 eV/atom

Cell and atoms, written as CIF:
```
data_Mn2ReSnW
_chemical_formula_sum 'Mn2 Re1 Sn1 W1'
_cell_length_a 4.681
_cell_length_b 4.681
_cell_length_c 4.803
_cell_angle_alpha 90.00
_cell_angle_beta 90.00
_cell_angle_gamma 90.00
_symmetry_space_group_name_H-M 'P 4/m m m'
_symmetry_Int_Tables_number 123
_symmetry_space_group_name_Hall '-P 4 2'
loop_
_atom_site_label
_atom_site_type_symbol
_atom_site_fract_x
_atom_site_fract_y
_atom_site_fract_z
_atom_site_occupancy
Mn1 Mn 0.000 0.500 0.000 1
Re1 Re 0.000 0.000 0.000 1
Sn1 Sn 0.500 0.500 0.500 1
W1 W 0.000 0.000 0.500 1
```

---

Entry 3:
The following is a DFT calculation (PBE) of SrMnRe after structural relaxation.

Computed properties:
M_tot ... 1.617 μB/f.u.
D(E_F) ... 3.8 states/eV/f.u.
E_form ... 632.6 meV/atom
VASP energy ... -7.1339 eV/atom
Excess energy over the best structure of this formula in the dataset ... 0 meV per atom

Cell and atoms, written as CIF:
```
data_SrMnRe
_chemical_formula_sum 'Sr2 Mn2 Re2'
_cell_length_a 3.168
_cell_length_b 3.168
_cell_length_c 12.217
_cell_angle_alpha 90.00
_cell_angle_beta 90.00
_cell_angle_gamma 90.00
_symmetry_space_group_name_H-M 'I 4 m m'
_symmetry_Int_Tables_number 107
_symmetry_space_group_name_Hall 'I 4 -2'
loop_
_atom_site_label
_atom_site_type_symbol
_atom_site_fract_x
_atom_site_fract_y
_atom_site_fract_z
_atom_site_occupancy
Sr1 Sr 0.000 0.000 0.000 1
Mn1 Mn 0.000 0.000 0.711 1
Re1 Re 0.000 0.000 0.293 1
```

---

Entry 4:
The following is a DFT calculation (PBE) of SrMnRe2 after structural relaxation.

Computed properties:
M_tot ... 2.731 μB/f.u.
D(E_F) ... 3.9 states/eV/f.u.
E_form ... 985.2 meV/atom
VASP energy ... -7.9517 eV/atom
Excess energy over the best structure of this formula in the dataset ... 504 meV per atom

Cell and atoms, written as CIF:
```
data_SrMnRe2
_chemical_formula_sum 'Sr4 Mn4 Re8'
_cell_length_a 6.554
_cell_length_b 6.554
_cell_length_c 6.554
_cell_angle_alpha 90.00
_cell_angle_beta 90.00
_cell_angle_gamma 90.00
_symmetry_space_group_name_H-M 'F -4 3 m'
_symmetry_Int_Tables_number 216
_symmetry_space_group_name_Hall 'F -4 2 3'
loop_
_atom_site_label
_atom_site_type_symbol
_atom_site_fract_x
_atom_site_fract_y
_atom_site_fract_z
_atom_site_occupancy
Sr1 Sr 0.000 0.000 0.000 1
Mn1 Mn 0.250 0.250 0.250 1
Re1 Re 0.000 0.000 0.500 1
Re2 Re 0.250 0.250 0.750 1
```

---

Entry 5:
The following is a DFT calculation (PBE) of SrMnRe2 after structural relaxation.

Computed properties:
M_tot ... 3.214 μB/f.u.
D(E_F) ... 3.1 states/eV/f.u.
E_form ... 840.6 meV/atom
VASP energy ... -8.0963 eV/atom
Excess energy over the best structure of this formula in the dataset ... 360 meV per atom

Cell and atoms, written as CIF:
```
data_SrMnRe2
_chemical_formula_sum 'Sr3 Mn3 Re6'
_cell_length_a 2.9081
_cell_length_b 2.9081
_cell_length_c 29.6355
_cell_angle_alpha 90.00
_cell_angle_beta 90.00
_cell_angle_gamma 120.00
_symmetry_space_group_name_H-M 'R 3 m'
_symmetry_Int_Tables_number 160
_symmetry_space_group_name_Hall 'R 3 -2"'
loop_
_atom_site_label
_atom_site_type_symbol
_atom_site_fract_x
_atom_site_fract_y
_atom_site_fract_z
_atom_site_occupancy
Sr1 Sr 0.0000 0.0000 0.0000 1
Mn1 Mn 0.0000 0.0000 0.2364 1
Re1 Re 0.0000 0.0000 0.4987 1
Re2 Re 0.0000 0.0000 0.7619 1
```

---

Entry 6:
The following is a DFT calculation (PBE) of SrMnRe2 after structural relaxation.

Computed properties:
M_tot ... 0.596 μB/f.u.
D(E_F) ... 4.6 states/eV/f.u.
E_form ... 1460.1 meV/atom
VASP energy ... -7.4768 eV/atom
Excess energy over the best structure of this formula in the dataset ... 979 meV per atom

Cell and atoms, written as CIF:
```
data_SrMnRe2
_chemical_formula_sum 'Sr1 Mn1 Re2'
_cell_length_a 4.785
_cell_length_b 4.785
_cell_length_c 3.108
_cell_angle_alpha 90.00
_cell_angle_beta 90.00
_cell_angle_gamma 90.00
_symmetry_space_group_name_H-M 'P 4/m m m'
_symmetry_Int_Tables_number 123
_symmetry_space_group_name_Hall '-P 4 2'
loop_
_atom_site_label
_atom_site_type_symbol
_atom_site_fract_x
_atom_site_fract_y
_atom_site_fract_z
_atom_site_occupancy
Sr1 Sr 0.000 0.000 0.000 1
Mn1 Mn 0.500 0.500 0.000 1
Re1 Re 0.000 0.500 0.500 1
```

---

Entry 7:
The following is a DFT calculation (PBE) of SrMnRe2 after structural relaxation.

Computed properties:
M_tot ... 0.000 μB/f.u.
D(E_F) ... 4.6 states/eV/f.u.
E_form ... 1153.5 meV/atom
VASP energy ... -7.7834 eV/atom
Excess energy over the best structure of this formula in the dataset ... 672 meV per atom

Cell and atoms, written as CIF:
```
data_SrMnRe2
_chemical_formula_sum 'Sr4 Mn4 Re8'
_cell_length_a 4.932
_cell_length_b 4.932
_cell_length_c 16.085
_cell_angle_alpha 90.00
_cell_angle_beta 90.00
_cell_angle_gamma 90.00
_symmetry_space_group_name_H-M 'I 41/a m d'
_symmetry_Int_Tables_number 141
loop_
_symmetry_equiv_pos_as_xyz
'x,y,z'
'-x,-y,-z'
'-y+1/4,x+3/4,z+1/4'
'y+1/4,-x+3/4,-z+1/4'
'-x+1/2,-y,z+1/2'
'x+1/2,y,-z+1/2'
'y+1/4,-x+1/4,z+3/4'
'-y+1/4,x+1/4,-z+3/4'
'x,-y,-z'
'-x,y,z'
'-y+1/4,-x+1/4,-z+3/4'
'y+1/4,x+1/4,z+3/4'
'-x+1/2,y,-z+1/2'
'x+1/2,-y,z+1/2'
'y+1/4,x+3/4,-z+1/4'
'-y+1/4,-x+3/4,z+1/4'
'x+1/2,y+1/2,z+1/2'
'-x+1/2,-y+1/2,-z+1/2'
'-y+3/4,x+1/4,z+3/4'
'y+3/4,-x+1/4,-z+3/4'
'-x,-y+1/2,z'
'x,y+1/2,-z'
'y+3/4,-x+3/4,z+1/4'
'-y+3/4,x+3/4,-z+1/4'
'x+1/2,-y+1/2,-z+1/2'
'-x+1/2,y+1/2,z+1/2'
'-y+3/4,-x+3/4,-z+1/4'
'y+3/4,x+3/4,z+1/4'
'-x,y+1/2,-z'
'x,-y+1/2,z'
'y+3/4,x+1/4,-z+3/4'
'-y+3/4,-x+1/4,z+3/4'
loop_
_atom_site_label
_atom_site_type_symbol
_atom_site_fract_x
_atom_site_fract_y
_atom_site_fract_z
_atom_site_occupancy
Sr1 Sr 0.000 0.250 0.375 1
Mn1 Mn 0.000 0.250 0.875 1
Re1 Re 0.000 0.000 0.000 1
```

---

Entry 8:
The following is a DFT calculation (PBE) of SrMnRe2 after structural relaxation.

Computed properties:
M_tot ... 3.559 μB/f.u.
D(E_F) ... 3.6 states/eV/f.u.
E_form ... 1096.0 meV/atom
VASP energy ... -7.8409 eV/atom
Excess energy over the best structure of this formula in the dataset ... 615 meV per atom

Cell and atoms, written as CIF:
```
data_SrMnRe2
_chemical_formula_sum 'Sr2 Mn2 Re4'
_cell_length_a 5.498
_cell_length_b 9.913
_cell_length_c 2.642
_cell_angle_alpha 90.00
_cell_angle_beta 90.00
_cell_angle_gamma 90.00
_symmetry_space_group_name_H-M 'C m m m'
_symmetry_Int_Tables_number 65
_symmetry_space_group_name_Hall '-C 2 2'
loop_
_atom_site_label
_atom_site_type_symbol
_atom_site_fract_x
_atom_site_fract_y
_atom_site_fract_z
_atom_site_occupancy
Sr1 Sr 0.000 0.000 0.000 1
Mn1 Mn 0.000 0.500 0.000 1
Re1 Re 0.250 0.250 0.500 1
```